# CeY2Au | Alexandria via LeMat-Bulk | PBE | relaxed
# - ΔH_f (0 K): -360 meV/atom
# - Energy: -5.8944 eV/atom
# - ρ: 7.79 g/cm³
# - E above lowest polymorph: 0 meV/atom
# - Crystal system: tetragonal
data_CeY2Au
_chemical_formula_sum 'Ce1 Y2 Au1'
_cell_length_a 3.613
_cell_length_b 3.613
_cell_length_c 8.404
_cell_angle_alpha 90.00
_cell_angle_beta 90.00
_cell_angle_gamma 90.00
_space_group_name_H-M_alt 'P 4/m m m'
_space_group_IT_number 123
_space_group_name_Hall '-P 4 2'
loop_
_atom_site_label
_atom_site_type_symbol
_atom_site_fract_x
_atom_site_fract_y
_atom_site_fract_z
Ce1 Ce 0.000 0.000 0.000
Y1 Y 0.500 0.500 0.291
Au1 Au 0.000 0.000 0.500



# YbScO2 | Alexandria via LeMat-Bulk | PBE | relaxed
# - Energy: -7.3216 eV/atom
# - ρ: 8.22 g/cm³
# - Formation energy from raw total energies: -2.878 eV/atom
# - Crystal system: hexagonal
data_YbScO2
_chemical_formula_sum 'Yb2 Sc2 O4'
_cell_length_a 3.2742
_cell_length_b 3.2742
_cell_length_c 10.8817
_cell_angle_alpha 90.00
_cell_angle_beta 90.00
_cell_angle_gamma 120.00
_space_group_name_H-M_alt 'P 63/m m c'
_space_group_IT_number 194
_space_group_name_Hall '-P 6c 2c'
loop_
_atom_site_label
_atom_site_type_symbol
_atom_site_fract_x
_atom_site_fract_y
_atom_site_fract_z
Yb1 Yb 0.3333 0.6667 0.2500
Sc1 Sc 0.0000 0.0000 0.0000
O1 O 0.3333 0.6667 0.6096



# BaTiSe3 | Alexandria via LeMat-Bulk | PBE | relaxed
# - Energy: -5.4743 eV/atom
# - ρ: 5.01 g/cm³
# - Formation energy from raw total energies: -1.420 eV/atom
# - Crystal system: monoclinic
data_BaTiSe3
_chemical_formula_sum 'Ba2 Ti2 Se6'
_cell_length_a 5.132
_cell_length_b 5.065
_cell_length_c 11.041
_cell_angle_alpha 90.00
_cell_angle_beta 102.90
_cell_angle_gamma 90.00
_space_group_name_H-M_alt 'P 1 21/m 1'
_space_group_IT_number 11
loop_
_space_group_symop_operation_xyz
'x,y,z'
'-x,-y,-z'
'-x,y+1/2,-z'
'x,-y+1/2,z'
loop_
_atom_site_label
_atom_site_type_symbol
_atom_site_fract_x
_atom_site_fract_y
_atom_site_fract_z
Ba1 Ba 0.164 0.250 0.321
Ti1 Ti 0.376 0.250 0.858
Se1 Se 0.071 0.750 0.123
Se2 Se 0.319 0.250 0.629
Se3 Se 0.451 0.750 0.889



# SmBeRh | Alexandria via LeMat-Bulk | PBE | relaxed
# - ΔH_f (0 K): -551 meV/atom
# - Energy: -5.8161 eV/atom
# - ρ: 7.86 g/cm³
# - E above lowest polymorph: 12 meV/atom
# - Crystal system: hexagonal
data_SmBeRh
_chemical_formula_sum 'Sm1 Be1 Rh1'
_cell_length_a 3.9421
_cell_length_b 3.9421
_cell_length_c 4.1150
_cell_angle_alpha 90.00
_cell_angle_beta 90.00
_cell_angle_gamma 120.00
_space_group_name_H-M_alt 'P -6 m 2'
_space_group_IT_number 187
_space_group_name_Hall 'P -6 2'
loop_
_atom_site_label
_atom_site_type_symbol
_atom_site_fract_x
_atom_site_fract_y
_atom_site_fract_z
Sm1 Sm 0.0000 0.0000 0.0000
Be1 Be 0.3333 0.6667 0.5000
Rh1 Rh 0.6667 0.3333 0.5000



# KLi2As | Alexandria via LeMat-Bulk | PBE | relaxed
# - ΔH_f (0 K): -257 meV/atom
# - Energy: -2.6503 eV/atom
# - ρ: 2.10 g/cm³
# - Crystal system: monoclinic
data_KLi2As
_chemical_formula_sum 'K1 Li2 As1'
_cell_length_a 3.446
_cell_length_b 4.408
_cell_length_c 6.738
_cell_angle_alpha 90.00
_cell_angle_beta 99.50
_cell_angle_gamma 90.00
_space_group_name_H-M_alt 'P 1 2/m 1'
_space_group_IT_number 10
loop_
_space_group_symop_operation_xyz
'x,y,z'
'-x,-y,-z'
'-x,y,-z'
'x,-y,z'
loop_
_atom_site_label
_atom_site_type_symbol
_atom_site_fract_x
_atom_site_fract_y
_atom_site_fract_z
K1 K 0.000 0.000 0.000
Li1 Li 0.294 0.500 0.651
As1 As 0.500 0.000 0.500



# SmAl3NiAg | Alexandria via LeMat-Bulk | PBE | relaxed
# - ΔH_f (0 K): -317 meV/atom
# - Energy: -4.4133 eV/atom
# - ρ: 5.89 g/cm³
# - Crystal system: orthorhombic
data_SmAl3NiAg
_chemical_formula_sum 'Sm4 Al12 Ni4 Ag4'
_cell_length_a 6.030
_cell_length_b 12.512
_cell_length_c 5.943
_cell_angle_alpha 90.00
_cell_angle_beta 90.00
_cell_angle_gamma 90.00
_space_group_name_H-M_alt 'C m c m'
_space_group_IT_number 63
_space_group_name_Hall '-C 2c 2'
loop_
_atom_site_label
_atom_site_type_symbol
_atom_site_fract_x
_atom_site_fract_y
_atom_site_fract_z
Sm1 Sm 0.000 0.221 0.250
Al1 Al 0.000 0.367 0.750
Al2 Al 0.220 0.000 0.000
Ni1 Ni 0.000 0.431 0.250
Ag1 Ag 0.000 0.154 0.750